Entry from Alexandria: a relaxed structure of CoBrO2 (GGA+U).

Output
excess energy over the best structure of this formula in the dataset = 851 meV per atom
calculated density = 4.5 Mg/m³
DOS at the Fermi energy = 2.2 states/eV per cell
electronic total energy = -3.65 eV per atom

abc: 8.603 8.603 8.603
angles: 19.57 19.57 19.57
Fractional positions:
1 Co 0.000 0.000 0.000
2 O 0.062 0.062 0.062
3 O 0.938 0.938 0.938
4 Br 0.500 0.500 0.500